(1)
Os2PtRh3 after structural relaxation. Source: Alexandria via LeMat-Bulk, functional PBE-GGA.

Values from the calculation:
The electronic total energy comes out at -8.398 eV per atom. The calculation puts the volume at 14.46 Å³/atom.

Unit cell a=7.271 b=7.271 c=8.882 alpha=90.00 beta=90.00 gamma=158.32
Fractional coordinates of all 12 atoms:
Os: 0.000 0.000 0.000
Os: 0.000 0.000 0.500
Os: 0.444 0.556 0.750
Os: 0.556 0.444 0.250
Pt: 0.221 0.779 0.250
Pt: 0.779 0.221 0.750
Rh: 0.108 0.892 0.750
Rh: 0.338 0.662 0.002
Rh: 0.338 0.662 0.498
Rh: 0.662 0.338 0.502
Rh: 0.662 0.338 0.998
Rh: 0.892 0.108 0.250


(2)
AlTl2Os after structural relaxation. Source: Alexandria via LeMat-Bulk, functional PBE-GGA.

Values from the calculation:
The electronic total energy comes out at -4.066 eV per atom. The calculation puts the volume at 20.45 Å³/atom.

Unit cell a=4.872 b=4.872 c=4.872 alpha=60.00 beta=60.00 gamma=60.00
Fractional coordinates of all 4 atoms:
Al: 0.000 0.000 0.000
Tl: 0.500 0.500 0.500
Tl: 0.750 0.750 0.750
Os: 0.250 0.250 0.250


(3)
NbZnFe after structural relaxation. Source: Alexandria via LeMat-Bulk, functional PBE-GGA.

Values from the calculation:
The electronic total energy comes out at -6.534 eV per atom. The calculation puts the volume at 14.76 Å³/atom.

Unit cell a=6.281 b=6.281 c=6.281 alpha=154.98 beta=154.98 gamma=35.68
Fractional coordinates of all 3 atoms:
Nb: 0.000 0.000 0.000
Zn: 0.321 0.321 0.000
Fe: 0.673 0.673 0.000


(4)
PmNd3Y2As6 after structural relaxation. Source: Alexandria via LeMat-Bulk, functional PBE-GGA.

Values from the calculation:
The electronic total energy comes out at -6.515 eV per atom. The calculation puts the volume at 26.54 Å³/atom.

Unit cell a=7.307 b=7.307 c=7.306 alpha=99.59 beta=99.59 gamma=119.99
Fractional coordinates of all 12 atoms:
Pm: 0.000 0.000 0.000
Nd: 0.166 0.834 0.500
Nd: 0.500 0.500 0.500
Nd: 0.834 0.166 0.500
Y: 0.333 0.667 0.000
Y: 0.667 0.333 0.000
As: 0.081 0.418 0.244
As: 0.256 0.256 0.757
As: 0.418 0.081 0.244
As: 0.582 0.919 0.756
As: 0.744 0.744 0.243
As: 0.919 0.582 0.756


(5)
KMn2Re after structural relaxation. Source: Alexandria via LeMat-Bulk, functional PBE-GGA.

Values from the calculation:
The electronic total energy comes out at -6.361 eV per atom. The calculation puts the volume at 18.12 Å³/atom.

Unit cell a=5.564 b=5.564 c=5.564 alpha=139.33 beta=139.33 gamma=58.87
Fractional coordinates of all 4 atoms:
K: 0.000 0.000 0.000
Mn: 0.250 0.750 0.500
Mn: 0.500 0.500 0.000
Re: 0.750 0.250 0.500


(6)
KSn3Bi after structural relaxation. Source: Alexandria via LeMat-Bulk, functional PBE-GGA.

Values from the calculation:
The electronic total energy comes out at -2.988 eV per atom. The calculation puts the volume at 43.83 Å³/atom.

Unit cell a=6.029 b=6.029 c=6.029 alpha=90.00 beta=90.00 gamma=90.00
Fractional coordinates of all 5 atoms:
K: 0.000 0.000 0.000
Sn: 0.000 0.500 0.500
Sn: 0.500 0.000 0.500
Sn: 0.500 0.500 0.000
Bi: 0.500 0.500 0.500


(7)
Ce3PuP4 after structural relaxation. Source: Alexandria via LeMat-Bulk, functional PBE-GGA.

Values from the calculation:
The electronic total energy comes out at -8.136 eV per atom. The calculation puts the volume at 23.80 Å³/atom.

Unit cell a=7.044 b=7.044 c=4.071 alpha=90.00 beta=90.00 gamma=109.54
Fractional coordinates of all 8 atoms:
Ce: 0.000 0.000 0.000
Ce: 0.000 0.500 0.500
Ce: 0.500 0.000 0.500
Pu: 0.500 0.500 0.000
P: 0.252 0.748 0.000
P: 0.254 0.254 0.500
P: 0.746 0.746 0.500
P: 0.748 0.252 0.000


(8)
RbHfO2 after structural relaxation. Source: Alexandria via LeMat-Bulk, functional PBE-GGA.

Values from the calculation:
The electronic total energy comes out at -6.158 eV per atom. The formation energy from raw total energies is -949 meV per atom. The calculation puts the volume at 13.16 Å³/atom.

Unit cell a=4.207 b=4.207 c=4.207 alpha=60.00 beta=60.00 gamma=60.00
Fractional coordinates of all 4 atoms:
Rb: 0.000 0.000 0.000
Hf: 0.500 0.500 0.500
O: 0.250 0.250 0.250
O: 0.750 0.750 0.750